# LiMgSi2 (SCAN, single point on PBEsol structure)
data_LiMgSi2
_space_group_name_H-M_alt 'R -3 m'
_space_group_IT_number 166
_space_group_name_Hall '-R 3 2"'
_cell_length_a 2.9341
_cell_length_b 2.9341
_cell_length_c 25.7141
_cell_angle_alpha 90.00
_cell_angle_beta 90.00
_cell_angle_gamma 120.00
loop_
_atom_site_label
_atom_site_type_symbol
_atom_site_fract_x
_atom_site_fract_y
_atom_site_fract_z
Li1 Li 0.0000 0.0000 0.0000
Mg1 Mg 0.0000 0.0000 0.5000
Si1 Si 0.0000 0.0000 0.2522
# * magnetic moment: 0.0000 μB per atom
# * energy relative to the elements, uncorrected: 0.1275 eV per atom

# BePb3Au (SCAN, single point on PBEsol structure)
data_BePb3Au
_space_group_name_H-M_alt 'P m -3 m'
_space_group_IT_number 221
_space_group_name_Hall '-P 4 2 3'
_cell_length_a 4.966
_cell_length_b 4.966
_cell_length_c 4.966
_cell_angle_alpha 90.00
_cell_angle_beta 90.00
_cell_angle_gamma 90.00
loop_
_atom_site_label
_atom_site_type_symbol
_atom_site_fract_x
_atom_site_fract_y
_atom_site_fract_z
Be1 Be 0.000 0.000 0.000
Pb1 Pb 0.000 0.000 0.500
Au1 Au 0.500 0.500 0.500
# * magnetic moment: 0.0000 μB per atom
# * formation energy from the elements: 0.37 eV per atom

# TaTe2PbI (SCAN, single point on PBEsol structure)
data_TaTe2PbI
_space_group_name_H-M_alt 'P 4/m m m'
_space_group_IT_number 123
_space_group_name_Hall '-P 4 2'
_cell_length_a 5.384
_cell_length_b 5.384
_cell_length_c 5.448
_cell_angle_alpha 90.00
_cell_angle_beta 90.00
_cell_angle_gamma 90.00
loop_
_atom_site_label
_atom_site_type_symbol
_atom_site_fract_x
_atom_site_fract_y
_atom_site_fract_z
Ta1 Ta 0.000 0.000 0.000
Te1 Te 0.000 0.500 0.000
Pb1 Pb 0.500 0.500 0.500
I1 I 0.000 0.000 0.500
# * magnetic moment: 0.3662 μB per atom
# * energy relative to the elements, uncorrected: 0.2590 eV per atom

Q: What is the magnetic moment in the first record?
A: 0.0000 μB per atom

What did the second record say?
# BePb3Au (SCAN, single point on PBEsol structure)
data_BePb3Au
_space_group_name_H-M_alt 'P m -3 m'
_space_group_IT_number 221
_space_group_name_Hall '-P 4 2 3'
_cell_length_a 4.966
_cell_length_b 4.966
_cell_length_c 4.966
_cell_angle_alpha 90.00
_cell_angle_beta 90.00
_cell_angle_gamma 90.00
loop_
_atom_site_label
_atom_site_type_symbol
_atom_site_fract_x
_atom_site_fract_y
_atom_site_fract_z
Be1 Be 0.000 0.000 0.000
Pb1 Pb 0.000 0.000 0.500
Au1 Au 0.500 0.500 0.500
# * magnetic moment: 0.0000 μB per atom
# * formation energy from the elements: 0.37 eV per atom